Density functional theory data (PBE-GGA) for crystalline Tm2AgBr8 at its relaxed geometry.

```
Tm2AgBr8
1.0
6.6893 -4.8214 0.0000
6.6893 4.8214 0.0000
-0.0502 0.0000 7.5642
Tm Ag Br
2 1 8
direct
0.2008 0.2008 0.3282
0.7992 0.7992 0.6718
0.0000 0.0000 0.0000
0.0984 0.6944 0.8469
0.1688 0.1688 0.6679
0.3056 0.9016 0.1531
0.3877 0.3877 0.2656
0.6123 0.6123 0.7344
0.6944 0.0984 0.8469
0.8312 0.8312 0.3321
0.9016 0.3056 0.1531
```

Space group: No. 12
ΔE_f (raw): -1.245 eV/atom
Raw total energy: -38.87 eV/f.u.
Spin magnetization: 0.9 Bohr magnetons per cell
Fermi-level density of states: 0.35 states/eV/atom

Density functional theory data (PBE-GGA) for crystalline TmAgBr4 at its relaxed geometry.

```
TmAgBr4
1.0
7.8708 -2.0461 0.0000
7.8708 2.0461 0.0000
-3.4563 0.0000 6.5312
Tm Ag Br
1 1 4
direct
0.0000 0.0000 0.0000
0.5000 0.5000 0.5000
0.1021 0.1021 0.4212
0.3794 0.3794 0.0077
0.6206 0.6206 0.9923
0.8979 0.8979 0.5788
```

Space group: No. 12
ΔE_f (raw): -1.335 eV/atom
Raw total energy: -22.03 eV/f.u.
Spin magnetization: 0.0 Bohr magnetons per cell
Fermi-level density of states: 0.00 states/eV/atom